Compound: Al2FeSi3
Source: Alexandria
Functional: PBE-GGA
Structure: relaxed

a = 6.022 Å, b = 6.016 Å, c = 9.279 Å
α = 90.00°, β = 90.00°, γ = 90.00°
Space group Pbcn (No. 60)
Unique sites:
Al 0.138 0.129 0.131 x8
Fe 0.000 0.485 0.250 x4
Si 0.000 0.500 0.000 x4
Si 0.161 0.172 0.849 x8

Results
- E_tot: -5.5668 eV per atom
- Total magnetization: 0.00 μB per cell
- Volume: 84 Å³/f.u.
- Density of states at the Fermi level: 0.258 states/eV per atom

Compound: Ac4Pr3Tl
Source: Alexandria
Functional: PBE-GGA
Structure: relaxed

a = 4.427 Å, b = 4.427 Å, c = 15.884 Å
α = 90.00°, β = 90.00°, γ = 90.00°
Space group P4/mmm (No. 123)
Unique sites:
Ac 0.000 0.000 0.114 x2
Ac 0.000 0.000 0.377 x2
Pr 0.500 0.500 0.251 x2
Pr 0.500 0.500 0.500 x1
Tl 0.500 0.500 0.000 x1

Results
- E_tot: -4.1461 eV per atom
- Formation energy from the elements: -0.1 kcal/mol of atoms
- Total magnetization: 0.00 μB per cell
- Volume: 311 Å³/f.u.
- Density of states at the Fermi level: 1.646 states/eV per atom

Compound: Re2SiAu
Source: Alexandria
Functional: PBE-GGA
Structure: relaxed

a = 2.969 Å, b = 2.969 Å, c = 6.761 Å
α = 90.00°, β = 90.00°, γ = 90.00°
Space group P4/mmm (No. 123)
Unique sites:
Re 0.000 0.000 0.205 x2
Si 0.500 0.500 0.000 x1
Au 0.500 0.500 0.500 x1

Results
- E_tot: -8.2242 eV per atom
- Total magnetization: 0.00 μB per cell
- Volume: 60 Å³/f.u.
- Density of states at the Fermi level: 0.538 states/eV per atom

Compound: GaCuGe
Source: Alexandria
Functional: PBE-GGA
Structure: relaxed

a = 4.6427 Å, b = 4.6427 Å, c = 5.2828 Å
α = 90.00°, β = 90.00°, γ = 120.00°
Space group P6_3/mmc (No. 194)
Unique sites:
Ga 0.3333 0.6667 0.2500 x2
Cu 0.0000 0.0000 0.0000 x2
Ge 0.3333 0.6667 0.7500 x2

Results
- E_tot: -3.6714 eV per atom
- Formation energy from the elements: 5.6 kcal/mol of atoms
- Total magnetization: 0.00 μB per cell
- Volume: 49 Å³/f.u.
- Density of states at the Fermi level: 0.377 states/eV per atom

Compound: Th2ZnIn
Source: Alexandria
Functional: PBE-GGA
Structure: relaxed

a = 4.877 Å, b = 4.877 Å, c = 4.484 Å
α = 90.00°, β = 90.00°, γ = 90.00°
Space group P4/mmm (No. 123)
Unique sites:
Th 0.000 0.500 0.000 x2
Zn 0.000 0.000 0.500 x1
In 0.500 0.500 0.500 x1

Results
- E_tot: -4.8999 eV per atom
- Formation energy from the elements: -4.3 kcal/mol of atoms
- Total magnetization: 0.00 μB per cell
- Volume: 107 Å³/f.u.
- Density of states at the Fermi level: 1.036 states/eV per atom

Compound: SrLaZnIr
Source: Alexandria
Functional: PBE-GGA
Structure: relaxed

a = 7.348 Å, b = 7.348 Å, c = 7.348 Å
α = 90.00°, β = 90.00°, γ = 90.00°
Space group F-43m (No. 216)
Unique sites:
Sr 0.000 0.000 0.000 x4
La 0.000 0.000 0.500 x4
Zn 0.250 0.250 0.750 x4
Ir 0.250 0.250 0.250 x4

Results
- E_tot: -4.4721 eV per atom
- Formation energy from the elements: -6.6 kcal/mol of atoms
- Total magnetization: 0.00 μB per cell
- Volume: 99 Å³/f.u.
- Density of states at the Fermi level: 0.921 states/eV per atom

Compound: ScMnCu2
Source: Alexandria
Functional: PBE-GGA
Structure: relaxed

a = 3.163 Å, b = 3.163 Å, c = 5.959 Å
α = 90.00°, β = 90.00°, γ = 90.00°
Space group P4mm (No. 99)
Unique sites:
Sc 0.000 0.000 0.000 x1
Mn 0.500 0.500 0.711 x1
Cu 0.000 0.000 0.491 x1
Cu 0.500 0.500 0.279 x1

Results
- E_tot: -5.9399 eV per atom
- Formation energy from the elements: -0.4 kcal/mol of atoms
- Total magnetization: 2.85 μB per cell
- Volume: 60 Å³/f.u.
- Density of states at the Fermi level: 0.742 states/eV per atom

Compound: TlCCl2
Source: Alexandria
Functional: PBE-GGA
Structure: relaxed

a = 6.608 Å, b = 6.608 Å, c = 9.425 Å
α = 90.00°, β = 90.00°, γ = 90.00°
Space group I4_1/amd (No. 141, origin choice 2)
Unique sites:
Tl 0.000 0.250 0.375 x4
C 0.000 0.250 0.875 x4
Cl 0.000 0.000 0.000 x8

Results
- E_tot: -2.9762 eV per atom
- Total magnetization: 0.00 μB per cell
- E above lowest polymorph: 0.0 kJ per mole of atoms
- Volume: 103 Å³/f.u.
- Density of states at the Fermi level: 1.324 states/eV per atom

Compound: ZrSeBr2O
Source: Alexandria
Functional: PBE-GGA
Structure: relaxed

a = 5.342 Å, b = 5.342 Å, c = 5.181 Å
α = 90.00°, β = 90.00°, γ = 90.00°
Space group P4/mmm (No. 123)
Unique sites:
Zr 0.000 0.000 0.000 x1
Se 0.000 0.000 0.500 x1
Br 0.000 0.500 0.000 x2
O 0.500 0.500 0.500 x1

Results
- E_tot: -4.2256 eV per atom
- Total magnetization: 0.02 μB per cell
- E above lowest polymorph: 0.0 kJ per mole of atoms
- Volume: 148 Å³/f.u.
- Density of states at the Fermi level: 1.266 states/eV per atom

Compound: DyEr9Tm2
Source: Alexandria
Functional: PBE-GGA
Structure: relaxed

a = 4.949 Å, b = 4.949 Å, c = 14.846 Å
α = 90.00°, β = 90.00°, γ = 90.00°
Space group P4/mmm (No. 123)
Unique sites:
Dy 0.000 0.000 0.000 x1
Er 0.000 0.500 0.167 x4
Er 0.000 0.500 0.500 x2
Er 0.500 0.500 0.000 x1
Er 0.500 0.500 0.334 x2
Tm 0.000 0.000 0.334 x2

Results
- E_tot: -4.5264 eV per atom
- Formation energy from the elements: 0.6 kcal/mol of atoms
- Total magnetization: 0.00 μB per cell
- E above lowest polymorph: 0.0 kJ per mole of atoms
- Volume: 364 Å³/f.u.
- Density of states at the Fermi level: 1.487 states/eV per atom

Compound: Ca2Ga3Ge
Source: Alexandria
Functional: PBE-GGA
Structure: relaxed

a = 10.785 Å, b = 4.403 Å, c = 7.158 Å
α = 90.00°, β = 129.78°, γ = 90.00°
Space group Cm (No. 8)
Unique sites:
Ca 0.000 0.000 0.000 x2
Ca 0.118 0.000 0.623 x2
Ga 0.215 0.500 0.395 x2
Ga 0.225 0.500 0.029 x2
Ga 0.396 0.000 0.222 x2
Ge 0.401 0.000 0.607 x2

Results
- E_tot: -3.4351 eV per atom
- Formation energy from the elements: -11.2 kcal/mol of atoms
- Total magnetization: 0.00 μB per cell
- E above lowest polymorph: 2.0 kJ per mole of atoms
- Volume: 131 Å³/f.u.
- Density of states at the Fermi level: 0.349 states/eV per atom

Compound: EuThSb2
Source: Alexandria
Functional: PBE-GGA
Structure: relaxed

a = 3.884 Å, b = 3.884 Å, c = 7.976 Å
α = 90.00°, β = 90.00°, γ = 90.00°
Space group P4/mmm (No. 123)
Unique sites:
Eu 0.000 0.000 0.000 x1
Th 0.000 0.000 0.500 x1
Sb 0.500 0.500 0.261 x2

Results
- E_tot: -7.3137 eV per atom
- Total magnetization: 6.87 μB per cell
- E above lowest polymorph: 19.5 kJ per mole of atoms
- Volume: 120 Å³/f.u.
- Density of states at the Fermi level: 0.902 states/eV per atom